Record 1
Crystalline SmY2Te2 at its relaxed geometry. Source: the Alexandria database, functional PBE-GGA.

Geometry as POSCAR:
```
SmY2Te2
1.0
-2.131 2.131 8.597
2.131 -2.131 8.597
2.131 2.131 -8.597
Sm Y Te
1 2 2
Cartesian
0.000 0.000 0.000
0.000 0.000 6.331
0.000 0.000 10.863
0.000 0.000 3.090
0.000 0.000 14.104
```

Output
- crystal system = tetragonal
- formation energy from raw total energies (eV/atom) = -0.98

Record 2
Crystalline ZrSc2Tl at its relaxed geometry. Source: the Alexandria database, functional PBE-GGA.

Geometry as POSCAR:
```
ZrSc2Tl
1.0
5.195 0.000 0.000
0.000 5.195 0.000
0.000 0.000 3.436
Zr Sc Tl
1 2 1
Cartesian
0.000 0.000 0.000
0.000 2.597 1.718
2.597 0.000 1.718
2.597 2.597 0.000
```

Output
- relative energy among the computed polymorphs (meV/atom) = 113.1
- ΔE_f (eV per formula unit) = -0.217
- crystal system = tetragonal

Record 3
Crystalline La9Ho2Th at its relaxed geometry. Source: the Alexandria database, functional PBE-GGA.

Geometry as POSCAR:
```
La9Ho2Th
1.0
5.203 0.000 0.000
0.000 5.203 0.000
0.000 0.000 15.608
La Ho Th
9 2 1
Cartesian
0.000 0.000 0.000
0.000 0.000 5.233
0.000 0.000 10.376
0.000 2.601 2.549
0.000 2.601 7.804
0.000 2.601 13.059
2.601 0.000 2.549
2.601 0.000 7.804
2.601 0.000 13.059
2.601 2.601 5.225
2.601 2.601 10.383
2.601 2.601 0.000
```

Output
- ΔE_f (eV per formula unit) = 0.296
- crystal system = tetragonal